# Cd2TeSe | Alexandria via LeMat-Bulk | PBE | optimized geometry
# * E above lowest polymorph: 411 meV per atom
# * raw total energy: -2.241 eV per atom
# * formation energy from raw total energies: -127 meV/atom
# * total magnetic moment: 0.00 μB/atom
data_Cd2TeSe
_chemical_formula_sum 'Cd2 Te1 Se1'
_cell_length_a 4.1422
_cell_length_b 4.1422
_cell_length_c 7.9103
_cell_angle_alpha 90.00
_cell_angle_beta 90.00
_cell_angle_gamma 120.79
_space_group_name_H-M_alt 'P 1'
_space_group_IT_number 1
loop_
_space_group_symop_operation_xyz
'x,y,z'
loop_
_atom_site_label
_atom_site_type_symbol
_atom_site_fract_x
_atom_site_fract_y
_atom_site_fract_z
Cd1 Cd 0.0000 0.0000 0.0176
Cd2 Cd 0.0000 0.0000 0.4824
Se1 Se 0.5000 0.5000 0.2500
Te1 Te 0.5000 0.5000 0.7500

# Cd2TeSe | Alexandria via LeMat-Bulk | PBE | optimized geometry
# * E above lowest polymorph: 229 meV per atom
# * raw total energy: -2.423 eV per atom
# * formation energy from raw total energies: -309 meV/atom
# * total magnetic moment: 0.00 μB/atom
data_Cd2TeSe
_chemical_formula_sum 'Cd2 Te1 Se1'
_cell_length_a 7.5249
_cell_length_b 7.5249
_cell_length_c 4.0637
_cell_angle_alpha 90.01
_cell_angle_beta 90.01
_cell_angle_gamma 31.19
_space_group_name_H-M_alt 'P 1'
_space_group_IT_number 1
loop_
_space_group_symop_operation_xyz
'x,y,z'
loop_
_atom_site_label
_atom_site_type_symbol
_atom_site_fract_x
_atom_site_fract_y
_atom_site_fract_z
Cd1 Cd 0.9581 0.9581 0.8751
Cd2 Cd 0.3023 0.3023 0.3750
Se1 Se 0.4910 0.4910 0.3751
Te1 Te 0.7487 0.7487 0.8748

# CdTeSe2 | Alexandria via LeMat-Bulk | PBE | optimized geometry
# * raw total energy: -2.787 eV per atom
# * formation energy from raw total energies: -30 meV/atom
# * total magnetic moment: 0.00 μB/atom
data_CdTeSe2
_chemical_formula_sum 'Cd2 Te2 Se4'
_cell_length_a 5.6652
_cell_length_b 5.6652
_cell_length_c 8.8646
_cell_angle_alpha 71.37
_cell_angle_beta 71.37
_cell_angle_gamma 90.00
_space_group_name_H-M_alt 'P 1'
_space_group_IT_number 1
loop_
_space_group_symop_operation_xyz
'x,y,z'
loop_
_atom_site_label
_atom_site_type_symbol
_atom_site_fract_x
_atom_site_fract_y
_atom_site_fract_z
Te1 Te 0.0000 0.0000 0.0000
Te2 Te 0.7500 0.2500 0.5000
Se1 Se 0.6244 0.1250 0.2500
Se2 Se 0.1256 0.6250 0.2500
Se3 Se 0.3750 0.3756 0.7500
Se4 Se 0.8750 0.8744 0.7500
Cd1 Cd 0.5000 0.5000 0.0000
Cd2 Cd 0.2500 0.7500 0.5000

# Cd2TeSe | Alexandria via LeMat-Bulk | PBE | optimized geometry
# * E above lowest polymorph: 614 meV per atom
# * raw total energy: -2.038 eV per atom
# * formation energy from raw total energies: 76 meV/atom
# * total magnetic moment: 0.00 μB/atom
data_Cd2TeSe
_chemical_formula_sum 'Cd2 Te1 Se1'
_cell_length_a 7.1613
_cell_length_b 7.1613
_cell_length_c 7.1613
_cell_angle_alpha 144.22
_cell_angle_beta 149.05
_cell_angle_gamma 48.01
_space_group_name_H-M_alt 'P 1'
_space_group_IT_number 1
loop_
_space_group_symop_operation_xyz
'x,y,z'
loop_
_atom_site_label
_atom_site_type_symbol
_atom_site_fract_x
_atom_site_fract_y
_atom_site_fract_z
Cd1 Cd 0.0415 0.0415 0.0000
Cd2 Cd 0.4585 0.4585 0.0000
Se1 Se 0.2500 0.7500 0.5000
Te1 Te 0.7500 0.2500 0.5000

# CdTeSe2 | Alexandria via LeMat-Bulk | PBE | optimized geometry
# * raw total energy: -2.952 eV per atom
# * formation energy from raw total energies: -196 meV/atom
# * total magnetic moment: 0.00 μB/atom
data_CdTeSe2
_chemical_formula_sum 'Cd1 Te1 Se2'
_cell_length_a 4.1305
_cell_length_b 4.1313
_cell_length_c 6.0372
_cell_angle_alpha 90.00
_cell_angle_beta 90.00
_cell_angle_gamma 90.00
_space_group_name_H-M_alt 'P 1'
_space_group_IT_number 1
loop_
_space_group_symop_operation_xyz
'x,y,z'
loop_
_atom_site_label
_atom_site_type_symbol
_atom_site_fract_x
_atom_site_fract_y
_atom_site_fract_z
Cd1 Cd 0.5000 0.5000 0.8754
Se1 Se 0.0000 0.0000 0.8748
Se2 Se 0.5000 0.5000 0.3750
Te1 Te 0.0000 0.0000 0.3748

# CdTeSe2 | Alexandria via LeMat-Bulk | PBE | optimized geometry
# * raw total energy: -2.757 eV per atom
# * formation energy from raw total energies: 0 meV/atom
# * total magnetic moment: 0.00 μB/atom
data_CdTeSe2
_chemical_formula_sum 'Cd1 Te1 Se2'
_cell_length_a 5.7942
_cell_length_b 5.7942
_cell_length_c 5.7942
_cell_angle_alpha 139.38
_cell_angle_beta 97.51
_cell_angle_gamma 96.33
_space_group_name_H-M_alt 'P 1'
_space_group_IT_number 1
loop_
_space_group_symop_operation_xyz
'x,y,z'
loop_
_atom_site_label
_atom_site_type_symbol
_atom_site_fract_x
_atom_site_fract_y
_atom_site_fract_z
Cd1 Cd 0.2500 0.7500 0.5000
Se1 Se 0.0037 0.0037 0.0000
Se2 Se 0.4963 0.4963 0.0000
Te1 Te 0.7500 0.2500 0.5000

# CdTeSe2 | Alexandria via LeMat-Bulk | PBE | optimized geometry
# * raw total energy: -2.922 eV per atom
# * formation energy from raw total energies: -166 meV/atom
# * total magnetic moment: 0.00 μB/atom
data_CdTeSe2
_chemical_formula_sum 'Cd1 Te1 Se2'
_cell_length_a 5.4401
_cell_length_b 4.6801
_cell_length_c 5.6070
_cell_angle_alpha 54.96
_cell_angle_beta 90.00
_cell_angle_gamma 90.00
_space_group_name_H-M_alt 'P 1'
_space_group_IT_number 1
loop_
_space_group_symop_operation_xyz
'x,y,z'
loop_
_atom_site_label
_atom_site_type_symbol
_atom_site_fract_x
_atom_site_fract_y
_atom_site_fract_z
Cd1 Cd 0.5000 0.7329 0.9468
Se1 Se 0.0000 0.8911 0.8656
Se2 Se 0.5000 0.0171 0.3064
Te1 Te 0.0000 0.8589 0.3811

# Cd2TeSe | Alexandria via LeMat-Bulk | PBE | optimized geometry
# * E above lowest polymorph: 6 meV per atom
# * raw total energy: -2.646 eV per atom
# * formation energy from raw total energies: -532 meV/atom
# * total magnetic moment: 0.00 μB/atom
data_Cd2TeSe
_chemical_formula_sum 'Cd2 Te1 Se1'
_cell_length_a 4.5344
_cell_length_b 4.5344
_cell_length_c 6.3893
_cell_angle_alpha 90.00
_cell_angle_beta 90.00
_cell_angle_gamma 90.00
_space_group_name_H-M_alt 'P 1'
_space_group_IT_number 1
loop_
_space_group_symop_operation_xyz
'x,y,z'
loop_
_atom_site_label
_atom_site_type_symbol
_atom_site_fract_x
_atom_site_fract_y
_atom_site_fract_z
Te1 Te 0.0000 0.0000 0.5000
Se1 Se 0.5000 0.5000 0.0000
Cd1 Cd 0.5000 0.0000 0.7669
Cd2 Cd 0.0000 0.5000 0.2331

# CdTeSe2 | Alexandria via LeMat-Bulk | PBE | optimized geometry
# * raw total energy: -2.839 eV per atom
# * formation energy from raw total energies: -82 meV/atom
# * total magnetic moment: 0.00 μB/atom
data_CdTeSe2
_chemical_formula_sum 'Cd1 Te1 Se2'
_cell_length_a 3.8601
_cell_length_b 3.8601
_cell_length_c 8.6857
_cell_angle_alpha 90.00
_cell_angle_beta 90.00
_cell_angle_gamma 90.00
_space_group_name_H-M_alt 'P 1'
_space_group_IT_number 1
loop_
_space_group_symop_operation_xyz
'x,y,z'
loop_
_atom_site_label
_atom_site_type_symbol
_atom_site_fract_x
_atom_site_fract_y
_atom_site_fract_z
Cd1 Cd 0.5000 0.5000 0.9492
Se1 Se 0.0000 0.0000 0.8842
Se2 Se 0.5000 0.5000 0.2902
Te1 Te 0.0000 0.0000 0.3765

# Cd2TeSe | Alexandria via LeMat-Bulk | PBE | optimized geometry
# * E above lowest polymorph: 160 meV per atom
# * raw total energy: -2.492 eV per atom
# * formation energy from raw total energies: -378 meV/atom
# * total magnetic moment: 0.00 μB/atom
data_Cd2TeSe
_chemical_formula_sum 'Cd2 Te1 Se1'
_cell_length_a 5.6145
_cell_length_b 4.5389
_cell_length_c 4.5428
_cell_angle_alpha 78.96
_cell_angle_beta 90.00
_cell_angle_gamma 90.00
_space_group_name_H-M_alt 'P 1'
_space_group_IT_number 1
loop_
_space_group_symop_operation_xyz
'x,y,z'
loop_
_atom_site_label
_atom_site_type_symbol
_atom_site_fract_x
_atom_site_fract_y
_atom_site_fract_z
Cd1 Cd 0.0000 0.9467 0.9503
Cd2 Cd 0.5000 0.4069 0.4062
Se1 Se 0.0000 0.3317 0.3300
Te1 Te 0.5000 0.8148 0.8134

# Cd2TeSe | Alexandria via LeMat-Bulk | PBE | optimized geometry
# * E above lowest polymorph: 427 meV per atom
# * raw total energy: -2.225 eV per atom
# * formation energy from raw total energies: -111 meV/atom
# * total magnetic moment: 0.00 μB/atom
data_Cd2TeSe
_chemical_formula_sum 'Cd2 Te1 Se1'
_cell_length_a 5.2372
_cell_length_b 5.2372
_cell_length_c 4.4826
_cell_angle_alpha 74.29
_cell_angle_beta 74.29
_cell_angle_gamma 104.50
_space_group_name_H-M_alt 'P 1'
_space_group_IT_number 1
loop_
_space_group_symop_operation_xyz
'x,y,z'
loop_
_atom_site_label
_atom_site_type_symbol
_atom_site_fract_x
_atom_site_fract_y
_atom_site_fract_z
Cd1 Cd 0.0000 0.0000 0.0000
Cd2 Cd 0.5000 0.5000 0.0000
Se1 Se 0.5000 0.0000 0.5000
Te1 Te 0.0000 0.5000 0.5000

# Cd2TeSe | Alexandria via LeMat-Bulk | PBE | optimized geometry
# * E above lowest polymorph: 533 meV per atom
# * raw total energy: -2.119 eV per atom
# * formation energy from raw total energies: -5 meV/atom
# * total magnetic moment: 0.00 μB/atom
data_Cd2TeSe
_chemical_formula_sum 'Cd2 Te1 Se1'
_cell_length_a 6.9574
_cell_length_b 6.9574
_cell_length_c 4.5384
_cell_angle_alpha 108.95
_cell_angle_beta 108.95
_cell_angle_gamma 30.97
_space_group_name_H-M_alt 'P 1'
_space_group_IT_number 1
loop_
_space_group_symop_operation_xyz
'x,y,z'
loop_
_atom_site_label
_atom_site_type_symbol
_atom_site_fract_x
_atom_site_fract_y
_atom_site_fract_z
Cd1 Cd 0.0061 0.0061 0.0061
Cd2 Cd 0.4939 0.4939 0.4939
Se1 Se 0.2500 0.2500 0.2500
Te1 Te 0.7500 0.7500 0.7500